[1]
Density functional theory data (PBE-GGA) for crystalline Mg2HgGePt at its relaxed geometry.

Total magnetization: 0.0 Bohr magnetons per cell
Formation enthalpy at 0 K: -0.314 eV per atom

abc: 5.163 5.163 4.645
angles: 90.00 90.00 90.00
Element x y z (fractional)
Mg  0.000  0.500  0.000
Mg  0.500  0.000  0.000
Hg  0.000  0.000  0.500
Ge  0.500  0.500  0.500
Pt  0.500  0.500  0.000

***

[2]
Density functional theory data (PBE-GGA) for crystalline PuMgHgGe at its relaxed geometry.

Total magnetization: 5.8 Bohr magnetons per cell
Formation enthalpy at 0 K: -0.267 eV per atom

abc: 5.041 5.041 5.041
angles: 60.00 60.00 60.00
Element x y z (fractional)
Pu  0.000  0.000  0.000
Mg  0.500  0.500  0.500
Hg  0.750  0.750  0.750
Ge  0.250  0.250  0.250

***

[3]
Density functional theory data (PBE-GGA) for crystalline MgHg2GeS4 at its relaxed geometry.

Total magnetization: 0.0 Bohr magnetons per cell
Energy relative to the elements, uncorrected: -0.40 eV/atom

abc: 8.692 7.158 6.736
angles: 90.00 90.00 90.00
Element x y z (fractional)
Mg  0.000  0.172  0.000
Mg  0.500  0.828  0.500
Hg  0.249  0.671  0.997
Hg  0.251  0.329  0.497
Hg  0.749  0.329  0.497
Hg  0.751  0.671  0.997
Ge  0.000  0.826  0.493
Ge  0.500  0.174  0.993
S  0.000  0.165  0.369
S  0.000  0.847  0.876
S  0.233  0.327  0.880
S  0.267  0.673  0.380
S  0.500  0.153  0.376
S  0.500  0.835  0.869
S  0.733  0.673  0.380
S  0.767  0.327  0.880

***

[4]
Density functional theory data (PBE-GGA) for crystalline MgSiHgGe2 at its relaxed geometry.

Total magnetization: 0.0 Bohr magnetons per cell
Energy relative to the elements, uncorrected: 0.44 eV/atom

abc: 4.846 4.846 5.110
angles: 90.00 90.00 90.00
Element x y z (fractional)
Mg  0.000  0.000  0.000
Si  0.000  0.000  0.500
Hg  0.500  0.500  0.000
Ge  0.000  0.500  0.500
Ge  0.500  0.000  0.500

***

Which value of total magnetization does entry 1 give?
0.0 Bohr magnetons per cell

***

Please write out number 2 again, unchanged.
Density functional theory data (PBE-GGA) for crystalline PuMgHgGe at its relaxed geometry.

Total magnetization: 5.8 Bohr magnetons per cell
Formation enthalpy at 0 K: -0.267 eV per atom

abc: 5.041 5.041 5.041
angles: 60.00 60.00 60.00
Element x y z (fractional)
Pu  0.000  0.000  0.000
Mg  0.500  0.500  0.500
Hg  0.750  0.750  0.750
Ge  0.250  0.250  0.250